Entry 1:
Entry from Alexandria via LeMat-Bulk: PrCd2Hg5 after structural relaxation (PBE).

```
16
Lattice="-1.4223 5.3053 -5.7329 -0.2682 -5.8568 -5.3535 -5.5972 -0.3559 6.5569" Properties=species:S:1:pos:R:3 pbc="T T T"
Cd -1.3853 0.7225 -8.3534
Cd -0.7288 -3.1225 -6.5768
Cd -0.3051 -1.2741 -2.7330
Cd -0.9617 2.5709 -4.5095
Pr -4.0664 -0.5916 -5.0363
Pr -3.2212 -0.3158 0.5069
Hg 0.0000 0.0000 0.0000
Hg -4.7351 -1.7300 -2.0348
Hg -4.3975 -4.9959 -1.9238
Hg -2.5525 0.8226 -2.4946
Hg -2.3916 -3.2062 -3.9823
Hg -4.8960 2.2988 -0.5471
Hg -0.8452 -0.2758 -5.5432
Hg -5.3906 2.1374 -3.7908
Hg -2.8902 4.0885 -2.6056
Hg -1.8970 -3.0448 -0.7386
```

The space-group type is I4/mcm (140). For the energy relative to the elements, the calculation gives -0.1317 eV per atom.

Entry 2:
Entry from Alexandria via LeMat-Bulk: Pr4Cd3Hg5 after structural relaxation (PBE).

```
12
Lattice="5.6392 0.0000 0.0000 2.8196 21.2650 -3.4704 2.8196 0.0395 2.8596" Properties=species:S:1:pos:R:3 pbc="T T T"
Hg 5.6392 10.6522 -0.3054
Hg 2.8196 0.7921 1.4397
Hg 5.6392 18.9376 -2.0487
Hg 5.6392 2.3669 1.4379
Hg 8.4588 20.5123 -2.0505
Pr 2.8196 13.6122 -1.9805
Pr 8.4588 7.6922 1.3697
Pr 8.4588 17.2510 -2.0194
Pr 2.8196 4.0535 1.4086
Cd 2.8196 10.6522 -0.3054
Cd 5.6392 15.3169 -2.0078
Cd 5.6392 5.9876 1.3970
```

The space-group type is C2/m (12). For the energy relative to the elements, the calculation gives -0.1833 eV per atom.

Entry 3:
Entry from Alexandria via LeMat-Bulk: PrCd7Hg4 after structural relaxation (PBE).

```
12
Lattice="-4.3897 2.9310 -2.7799 -7.6261 -0.2938 5.3317 -0.2638 6.6071 0.9819" Properties=species:S:1:pos:R:3 pbc="T T T"
Pr 0.0000 0.0000 0.0000
Hg -3.7158 1.5547 1.1059
Hg -7.7835 3.6750 3.3637
Hg -8.5638 7.6896 2.4279
Hg -4.4962 5.5693 0.1700
Cd -5.2711 1.5065 3.5111
Cd -6.2975 3.4315 0.7605
Cd -2.1949 1.4655 -1.3899
Cd -7.0085 7.7378 0.0226
Cd -10.4801 5.5363 3.1834
Cd -1.7996 3.7080 0.3503
Cd -5.9822 5.8128 2.7733
```

The space-group type is C2/m (12). For the energy relative to the elements, the calculation gives 0.0244 eV per atom.

Entry 4:
Entry from Alexandria via LeMat-Bulk: Pr7CdHg4 after structural relaxation (PBE).

```
12
Lattice="-3.5051 -3.0606 3.7390 5.2220 -4.7254 5.7923 -0.0237 3.2512 7.4042" Properties=species:S:1:pos:R:3 pbc="T T T"
Hg 0.7090 -2.3795 3.4819
Hg -0.3181 -0.9829 8.4273
Hg 0.9844 -2.1553 13.4536
Hg 2.0114 -3.5519 8.5082
Pr 1.8026 -5.0995 11.8106
Pr -1.7525 -1.5303 1.8695
Pr 2.9052 -2.1774 5.7061
Pr -0.1093 0.5647 5.1249
Pr -1.2119 -2.3574 11.2293
Pr -0.9442 -2.9683 6.2152
Pr 2.6375 -1.5665 10.7203
Cd 0.0000 0.0000 0.0000
```

The space-group type is C2/m (12). For the energy relative to the elements, the calculation gives -0.2235 eV per atom.

Entry 5:
Entry from Alexandria via LeMat-Bulk: Pr6CdHg5 after structural relaxation (PBE).

```
12
Lattice="9.3822 -0.7568 0.0000 1.9970 6.8432 0.0000 0.9985 3.4216 5.7155" Properties=species:S:1:pos:R:3 pbc="T T T"
Pr 8.3858 4.7144 3.7305
Pr 3.9918 4.7936 1.9851
Pr 2.6144 1.8301 0.0000
Pr 7.3873 1.2928 1.9851
Pr 8.7647 4.2563 0.0000
Pr 4.9903 8.2152 3.7305
Hg 5.6896 3.0432 4.2225
Hg 0.9985 3.4216 2.4131
Hg 5.6896 3.0432 0.0000
Hg 1.9970 6.8432 3.3024
Hg 6.6880 6.4648 1.4930
Cd 0.0000 0.0000 0.0000
```

The calculation puts the energy above the most stable polymorph in this dataset at 162.1 meV/atom. The space-group type is C2/m (12). For the energy relative to the elements, the calculation gives -0.2846 eV per atom.

Entry 6:
Entry from Alexandria via LeMat-Bulk: Pr3Cd3Hg2 after structural relaxation (PBE).

```
8
Lattice="4.0649 0.0000 0.0000 0.0000 8.0296 0.0000 0.0000 -4.0148 6.9538" Properties=species:S:1:pos:R:3 pbc="T T T"
Cd 0.0000 1.8113 0.0000
Cd 0.0000 3.1091 5.3852
Cd 0.0000 -0.9057 1.5686
Hg 0.0000 0.0000 4.6359
Hg 0.0000 4.0148 2.3179
Pr 2.0324 -2.4314 4.2113
Pr 2.0324 1.5834 2.7425
Pr 2.0324 4.8628 0.0000
```

The space-group type is P-62m (189). For the energy relative to the elements, the calculation gives -0.3424 eV per atom.

Entry 7:
Entry from Alexandria via LeMat-Bulk: Pr2CdHg after structural relaxation (PBE).

```
8
Lattice="5.4679 -0.0030 0.0021 0.0044 6.3216 -2.2546 -0.0025 0.0357 6.7115" Properties=species:S:1:pos:R:3 pbc="T T T"
Cd 1.3705 5.5633 -1.1734
Cd 4.0992 0.7910 5.6325
Pr 1.3684 2.3975 0.0111
Pr 4.1013 3.9567 4.4479
Pr 1.3691 5.5289 2.2065
Pr 4.1006 0.8253 2.2526
Hg 4.1027 3.9952 1.0621
Hg 1.3670 2.3591 3.3969
```

The calculation puts the energy above the most stable polymorph in this dataset at 0.0 meV/atom. The space-group type is Cmcm (63). For the energy relative to the elements, the calculation gives -0.3951 eV per atom.

Entry 8:
Entry from Alexandria via LeMat-Bulk: Pr4CdHg2 after structural relaxation (PBE).

```
7
Lattice="5.3192 0.0000 0.0000 0.0000 6.2978 -2.0814 0.0000 -0.0049 6.6328" Properties=species:S:1:pos:R:3 pbc="T T T"
Pr 2.6596 -0.0024 3.3164
Pr 0.0000 4.7869 3.4622
Pr 2.6596 3.1489 -1.0407
Pr 0.0000 1.5060 1.0893
Hg 0.0000 4.6677 0.1724
Hg 0.0000 1.6252 4.3790
Cd 2.6596 3.1464 2.2757
```

The space-group type is Cmmm (65). For the energy relative to the elements, the calculation gives -0.2744 eV per atom.

Entry 9:
Entry from Alexandria via LeMat-Bulk: Pr4CdHg5 after structural relaxation (PBE).

```
10
Lattice="-1.9583 1.6442 2.8709 2.0562 -2.0087 2.5530 12.6450 13.8356 0.7014" Properties=species:S:1:pos:R:3 pbc="T T T"
Hg 1.1779 1.0530 2.7746
Hg 11.5650 12.4181 3.3508
Hg 3.7704 3.8896 2.9184
Hg 6.3715 6.7356 3.0627
Hg 8.9725 9.5816 3.2070
Pr 2.3962 2.6218 0.1329
Pr 5.0072 5.4787 0.2778
Pr 7.6378 8.3569 0.4237
Pr 10.2488 11.2138 0.5685
Cd 0.0000 0.0000 0.0000
```

The space-group type is P4/mmm (123). For the energy relative to the elements, the calculation gives -0.3998 eV per atom.

Entry 10:
Entry from Alexandria via LeMat-Bulk: PrCd7Hg12 after structural relaxation (PBE).

```
20
Lattice="-7.5295 2.1910 4.0679 6.7814 1.8037 5.1856 0.0205 8.5293 1.8388" Properties=species:S:1:pos:R:3 pbc="T T T"
Cd -0.3394 7.3516 9.0293
Cd -1.4435 5.5288 6.3127
Cd -2.8058 10.9848 8.9021
Cd -3.7647 1.0955 2.0340
Cd -0.3882 5.1725 2.0631
Cd 2.0783 1.5393 2.1903
Cd 0.7159 6.9952 4.7797
Hg 0.9253 3.8453 4.4654
Hg 1.9801 8.7560 6.9149
Hg -1.6529 8.6788 6.6270
Hg 1.5535 5.5508 7.5479
Hg -2.2811 6.9733 3.5445
Hg 0.1535 10.5264 8.6713
Hg -2.7077 3.7680 4.1774
Hg 3.9266 3.1190 4.3207
Hg -4.6249 6.5635 5.5180
Hg -0.8810 1.9976 2.4210
Hg -4.6542 9.4050 6.7716
Hg 3.8973 5.9605 5.5743
Pr 0.0000 0.0000 0.0000
```

The calculation puts the energy above the most stable polymorph in this dataset at 0.0 meV/atom. The space-group type is R-3 (148). For the energy relative to the elements, the calculation gives -0.0339 eV per atom.

Entry 11:
Entry from Alexandria via LeMat-Bulk: PrCd4Hg4 after structural relaxation (PBE).

```
18
Lattice="6.7050 0.0000 0.0000 0.0000 6.7050 0.0000 0.0000 0.0000 10.1296" Properties=species:S:1:pos:R:3 pbc="T T T"
Hg 3.3525 1.6603 7.8291
Hg 5.0447 3.3525 2.3005
Hg 1.6603 3.3525 2.3005
Hg 1.6922 0.0000 2.7643
Hg 0.0000 1.6922 7.3653
Hg 5.0128 0.0000 2.7643
Hg 0.0000 5.0128 7.3653
Hg 3.3525 5.0447 7.8291
Cd 1.9218 0.0000 5.7178
Cd 3.3525 1.4307 0.6530
Cd 3.3525 5.2743 0.6530
Cd 0.0000 1.9218 4.4118
Cd 0.0000 4.7832 4.4118
Cd 5.2743 3.3525 9.4765
Cd 4.7832 0.0000 5.7178
Cd 1.4307 3.3525 9.4765
Pr 0.0000 0.0000 0.0000
Pr 3.3525 3.3525 5.0648
```

The calculation puts the energy above the most stable polymorph in this dataset at 54.2 meV/atom. The space-group type is P4_2/nmc (137). For the energy relative to the elements, the calculation gives -0.1069 eV per atom.

Entry 12:
Entry from Alexandria via LeMat-Bulk: Pr2CdHg3 after structural relaxation (PBE).

```
12
Lattice="-5.3963 -2.9125 -0.6595 3.6473 -1.0753 -4.8558 4.1953 -5.0783 6.8182" Properties=species:S:1:pos:R:3 pbc="T T T"
Hg 1.9177 -2.7265 -3.1135
Hg 1.3301 -6.6890 -0.0621
Hg -2.5524 -3.6345 -1.0394
Hg 1.1162 -2.3772 1.3649
Hg 0.5286 -6.3397 4.4163
Hg 4.9987 -5.4316 2.3422
Pr -1.0378 -4.9924 1.7005
Pr -1.3193 -3.0080 -4.1602
Pr -0.4298 -0.9799 -1.3552
Pr 3.4841 -4.0738 -0.3977
Cd 0.2318 -4.3500 -1.4049
Cd 2.2145 -4.7161 2.7077
```

The space-group type is Fmmm (69). For the energy relative to the elements, the calculation gives -0.4244 eV per atom.

no.,total magnetization (μB per atom)
1,0.000
2,0.000
3,0.000
4,0.000
5,0.000
6,0.000
7,0.222
8,0.206
9,0.123
10,0.000
11,0.000
12,0.000